No. 1
Material: AcSm3Th2As6
Method: DFT, GGA-PBE
State: relaxed

Unit cell a=4.2862 b=8.5595 c=9.5616 alpha=102.64 beta=102.95 gamma=90.00
Positions (direct):
As 0.3332 0.4169 0.6664
As 0.9984 0.7365 0.9967
As 0.0016 0.2635 0.0033
As 0.6668 0.5831 0.3336
As 0.3284 0.9127 0.6568
As 0.6716 0.0873 0.3432
Sm 0.8349 0.1674 0.6697
Sm 0.5000 0.5000 0.0000
Sm 0.1651 0.8326 0.3303
Ac 0.5000 0.0000 0.0000
Th 0.1672 0.3337 0.3343
Th 0.8328 0.6663 0.6657

Results
E_tot   -0.4822 Ry per atom
Crystal system   monoclinic

No. 2
Material: Sr2Tl5Hg
Method: DFT, GGA-PBE
State: relaxed

Unit cell a=5.0433 b=6.9843 c=13.9792 alpha=90.00 beta=90.00 gamma=90.00
Positions (direct):
Tl 0.5000 0.7647 0.1277
Tl 0.0000 0.5170 0.2499
Tl 0.0000 0.4830 0.7501
Tl 0.0000 0.0170 0.2501
Tl 0.5000 0.2353 0.8723
Tl 0.0000 0.9830 0.7499
Tl 0.0000 0.0000 0.0000
Tl 0.0000 0.5000 0.5000
Tl 0.5000 0.2647 0.3723
Tl 0.5000 0.7353 0.6277
Hg 0.0000 0.5000 0.0000
Hg 0.0000 0.0000 0.5000
Sr 0.5000 0.2332 0.6213
Sr 0.5000 0.7668 0.3787
Sr 0.5000 0.2668 0.1213
Sr 0.5000 0.7332 0.8787

Results
E_tot   -0.1624 Ry per atom
Crystal system   orthorhombic

No. 3
Material: TbNdP
Method: DFT, GGA-PBE
State: relaxed

Unit cell a=3.9665 b=3.9665 c=6.6085 alpha=90.00 beta=90.00 gamma=120.00
Last column: magnetic moment on the atom in μB.
Positions (direct):
Nd 0.0000 0.0000 0.0844  0.13
Tb 0.3333 0.6667 0.5750  0.17
P 0.6667 0.3333 0.3406  -0.01

Results
E_tot   -0.4317 Ry per atom
Crystal system   trigonal

It is found that the energy of formation values, taken in the order of the records, are -17.72 -2.18 -2.81 eV per formula unit.
It is found that the calculated volume values, taken in the order of the records, are 333.1 246.2 90.0 Å³/f.u..